# 1
Density functional theory data (PBE) for a relaxed structure of SmGePRh2.

Cell and atoms, written as extended XYZ:
```
10
Lattice="-3.176 -1.027 -2.395 4.616 -4.358 -0.728 -2.892 -3.991 5.548" Properties=species:S:1:pos:R:3 pbc="T T T"
Sm 0.556 -7.378 2.427
Sm -2.008 -1.999 -0.003
Ge -2.377 -5.727 2.086
Ge 0.925 -3.649 0.339
P 0.000 0.000 0.000
P -1.446 -1.996 2.774
Rh -1.642 -5.489 4.532
Rh 0.190 -3.888 -2.107
Rh -0.540 -3.968 2.418
Rh -0.912 -5.408 0.006
```

Computed properties:
As for the formation energy: -844 meV/atom.

---

# 2
Density functional theory data (PBE) for a relaxed structure of Sm2GeP3Rh4.

Cell and atoms, written as extended XYZ:
```
10
Lattice="-0.313 -0.717 4.056 4.062 -0.728 0.185 1.631 9.558 1.816" Properties=species:S:1:pos:R:3 pbc="T T T"
Sm 0.254 2.048 2.485
Sm 3.251 6.788 1.451
Ge 2.690 4.057 3.028
P 0.815 4.779 0.908
P 1.254 7.907 3.598
P 2.251 0.929 0.338
Rh 1.874 -0.723 2.120
Rh 0.000 0.000 0.000
Rh 0.869 5.655 3.170
Rh 2.636 3.181 0.766
```

Computed properties:
As for the formation energy: -1031 meV/atom.

---

# 3
Density functional theory data (PBE) for a relaxed structure of Sm3GeP2Rh9.

Cell and atoms, written as extended XYZ:
```
15
Lattice="-0.693 -4.838 -3.667 5.323 2.998 0.129 2.785 -5.219 6.359" Properties=species:S:1:pos:R:3 pbc="T T T"
Sm 5.200 -3.141 3.161
Sm 0.000 0.000 0.000
Sm 2.215 -3.918 -0.340
Ge 1.393 -2.609 3.180
P 3.781 -0.482 -0.079
P 3.635 -6.577 2.900
Rh 2.208 -7.380 1.451
Rh 5.112 -5.744 1.522
Rh 2.586 -4.740 3.452
Rh 4.829 -2.319 -0.631
Rh 2.303 -1.315 1.299
Rh 5.207 0.321 1.370
Rh -0.346 -2.419 -1.834
Rh 2.661 1.499 0.065
Rh 2.315 -0.920 -1.769
```

Computed properties:
As for the formation energy: -668 meV/atom.

---

# 4
Density functional theory data (PBE) for a relaxed structure of Sm2GePRh6.

Cell and atoms, written as extended XYZ:
```
20
Lattice="-3.255 3.822 2.722 -4.641 -5.468 2.128 4.665 -1.157 7.201" Properties=species:S:1:pos:R:3 pbc="T T T"
Sm -3.683 -2.342 4.875
Sm 2.315 -2.430 6.180
Sm -1.587 -2.861 8.111
Sm -0.253 -1.793 2.215
Ge -0.981 -4.482 5.120
Ge -2.955 0.347 1.970
P -0.341 0.101 5.441
P -3.595 -4.236 1.648
Rh -1.010 0.978 3.411
Rh 1.325 0.399 7.015
Rh -2.927 -5.112 3.679
Rh -0.596 -5.690 7.276
Rh 1.554 0.309 4.247
Rh -0.167 2.330 5.687
Rh -0.514 -2.096 5.200
Rh -2.208 -0.106 6.618
Rh -4.983 -0.207 3.194
Rh -3.423 -2.039 1.889
Rh -5.490 -4.444 2.842
Rh -7.024 -2.643 4.125
```

Computed properties:
As for the formation energy: -664 meV/atom.

---

# 5
Density functional theory data (PBE) for a relaxed structure of SrGePRh3.

Cell and atoms, written as extended XYZ:
```
12
Lattice="5.803 0.000 0.000 0.000 5.801 0.000 0.000 -2.900 7.147" Properties=species:S:1:pos:R:3 pbc="T T T"
Sr 4.352 0.000 3.798
Sr 1.451 2.900 3.350
Ge 1.451 0.000 5.779
Ge 4.352 2.900 1.369
P 1.451 0.000 1.129
P 4.352 2.900 6.018
Rh 1.451 0.000 3.359
Rh 0.000 1.416 0.000
Rh 2.902 4.385 0.000
Rh 2.902 1.416 0.000
Rh 0.000 4.385 0.000
Rh 4.352 2.900 3.789
```

Computed properties:
As for the formation energy: -668 meV/atom.

---

# 6
Density functional theory data (PBE) for a relaxed structure of Tb2GePRh6.

Cell and atoms, written as extended XYZ:
```
20
Lattice="5.711 0.000 0.000 0.000 7.420 0.000 0.000 0.000 8.613" Properties=species:S:1:pos:R:3 pbc="T T T"
Tb 2.856 5.360 2.375
Tb 0.000 2.059 6.682
Tb 2.856 5.360 6.238
Tb 0.000 2.059 1.931
Ge 0.000 5.273 4.307
Ge 2.856 2.146 0.000
P 2.856 1.659 4.307
P 0.000 5.760 0.000
Rh 2.856 0.895 2.150
Rh 2.856 0.895 6.463
Rh 0.000 6.524 2.156
Rh 0.000 6.524 6.457
Rh 1.348 0.000 4.307
Rh 4.363 0.000 4.307
Rh 1.365 3.280 4.307
Rh 4.346 3.280 4.307
Rh 4.221 4.139 0.000
Rh 1.490 4.139 0.000
Rh 1.508 7.419 0.000
Rh 4.204 7.419 0.000
```

Computed properties:
As for the formation energy: -666 meV/atom.

---

# 7
Density functional theory data (PBE) for a relaxed structure of Tb2GeP3Rh4.

Cell and atoms, written as extended XYZ:
```
10
Lattice="-0.438 2.097 -3.478 -2.703 -2.762 -1.325 -7.350 5.234 4.082" Properties=species:S:1:pos:R:3 pbc="T T T"
Tb -2.054 2.355 -0.720
Tb -6.866 2.546 2.401
Ge -5.245 2.284 -0.360
P -3.675 2.617 2.041
P -6.569 5.570 1.787
P -2.351 -0.669 -0.107
Rh -1.570 -0.333 -2.401
Rh 0.000 0.000 0.000
Rh -4.862 4.354 0.839
Rh -4.058 0.547 0.841
```

Computed properties:
As for the formation energy: -1024 meV/atom.

---

# 8
Density functional theory data (PBE) for a relaxed structure of Th3GeP2Rh8.

Cell and atoms, written as extended XYZ:
```
14
Lattice="-0.047 0.414 5.478 -4.710 -0.688 -2.744 0.954 -9.399 0.718" Properties=species:S:1:pos:R:3 pbc="T T T"
Th -2.608 -5.719 0.409
Th -1.195 -3.954 3.043
Th 0.000 0.000 0.000
Ge 0.477 -4.700 0.359
P -3.060 -1.267 0.069
P -0.744 -8.406 3.383
Rh -2.334 -8.413 0.615
Rh -1.469 -1.260 2.837
Rh -3.670 -3.116 -1.179
Rh -0.133 -6.557 4.631
Rh -1.307 -2.771 0.198
Rh -2.496 -6.902 3.255
Rh -3.694 -2.909 1.570
Rh -0.109 -6.764 1.882
```

Computed properties:
As for the formation energy: -812 meV/atom.

---

# 9
Density functional theory data (PBE) for a relaxed structure of Th2GePRh6.

Cell and atoms, written as extended XYZ:
```
20
Lattice="-1.787 5.004 1.940 1.360 -2.291 7.163 8.052 3.086 -0.542" Properties=species:S:1:pos:R:3 pbc="T T T"
Th 2.218 1.633 6.079
Th 6.503 1.742 1.499
Th 6.042 3.099 5.821
Th 2.275 0.121 1.783
Ge 5.010 -0.114 4.911
Ge -0.517 1.868 2.951
P 3.450 3.510 2.372
P 1.043 -1.756 5.490
Rh 1.280 3.010 1.662
Rh 5.299 4.551 1.391
Rh 3.213 -1.256 6.200
Rh 7.245 0.290 5.929
Rh 4.949 0.476 7.365
Rh 4.036 3.033 8.356
Rh 4.215 1.711 3.493
Rh 3.300 4.274 4.486
Rh -0.594 2.484 5.315
Rh 0.278 0.043 4.369
Rh -0.456 1.278 0.497
Rh -1.330 3.725 1.446
```

Computed properties:
As for the formation energy: -820 meV/atom.

---

# 10
Density functional theory data (PBE) for a relaxed structure of Th2GeP3Rh4.

Cell and atoms, written as extended XYZ:
```
10
Lattice="-1.223 2.303 -3.258 -1.389 -3.440 -1.911 -8.850 1.241 4.199" Properties=species:S:1:pos:R:3 pbc="T T T"
Th -2.800 1.459 -0.590
Th -7.356 -0.786 2.205
Ge -5.731 0.052 -0.485
P -4.425 0.621 2.099
P -8.256 2.224 1.998
P -1.901 -1.551 -0.383
Rh -1.306 -0.568 -2.584
Rh 0.000 0.000 0.000
Rh -6.152 1.929 1.000
Rh -4.004 -1.256 0.615
```

Computed properties:
As for the formation energy: -1075 meV/atom.

---

# 11
Density functional theory data (PBE) for a relaxed structure of UGePRh2.

Cell and atoms, written as extended XYZ:
```
5
Lattice="4.066 0.000 0.000 0.000 3.911 -0.578 0.000 -1.113 5.982" Properties=species:S:1:pos:R:3 pbc="T T T"
U 0.000 2.722 2.191
Ge 2.033 0.928 3.575
P 0.000 0.486 0.580
Rh 0.000 1.144 5.027
Rh 2.033 -0.797 5.419
```

Computed properties:
As for the formation energy: -528 meV/atom.

---

# 12
Density functional theory data (PBE) for a relaxed structure of ZnGePRh.

Cell and atoms, written as extended XYZ:
```
4
Lattice="-2.686 2.325 -0.832 -2.314 -2.179 1.384 1.782 1.127 4.754" Properties=species:S:1:pos:R:3 pbc="T T T"
Zn 1.005 0.767 2.888
Ge -1.443 1.816 4.789
P -1.505 0.564 2.714
Rh -0.622 1.002 0.538
```

Computed properties:
For the relative energy among the computed polymorphs, the calculation gives 71 meV per atom. As for the formation energy: -154 meV/atom.